Te2CCl | PBE-GGA | relaxed

Geometry as POSCAR:
```
Te2CCl
1.0
0.5831 7.8805 3.8430
3.2779 7.9699 1.7165
0.1466 8.7682 0.5546
C Te Cl
1 2 1
Direct
0.5000 0.5000 0.5000
0.8938 0.8938 0.8938
0.1062 0.1062 0.1062
0.0000 0.0000 0.0000
```

## Properties
Energy above the lowest structure with this stoichiometry   0.78 eV per formula unit
Crystal system   trigonal
Total DFT energy (no corrections)   -3.400 eV per atom
DOS at the Fermi energy   2.02 states/eV per cell
SG   R-3m (166)
Formation energy from raw total energies   0.94 eV per atom